# MgNpFeO6 (PBE with a Hubbard U, optimized geometry)
data_MgNpFeO6
_chemical_formula_sum 'Mg2 Np2 Fe2 O12'
_cell_length_a 5.2547
_cell_length_b 5.2547
_cell_length_c 8.8976
_cell_angle_alpha 90.00
_cell_angle_beta 90.00
_cell_angle_gamma 120.00
_space_group_name_H-M_alt 'P -3 1 c'
_space_group_IT_number 163
_space_group_name_Hall '-P 3 2c'
loop_
_atom_site_label
_atom_site_fract_x
_atom_site_fract_y
_atom_site_fract_z
_atom_site_occupancy
Mg1 0.3333 0.6667 0.2500 1
Np1 0.3333 0.6667 0.7500 1
Fe1 0.0000 0.0000 0.0000 1
O1 0.0107 0.3357 0.6286 1
# total energy = -139.11 eV for the cell shown
# volume = 11.820 Å³/atom
# total magnetization = 5.0 μB per formula unit